No. 1
Here is a relaxed structure of SrBePt3 from Alexandria. Energies are from PBE-GGA.

The space group is Imma (No. 74) and the conventional cell measures 5.965, 8.986 and 6.753 Å, with angles of 90.00, 90.00 and 90.00 degrees. The inequivalent atoms are Sr at (0.000, 0.250, 0.051), Be at (0.000, 0.000, 0.500), Pt at (0.000, 0.250, 0.557) and Pt at (0.250, 0.026, 0.750).

As for the distance to the lowest polymorph of the same formula: 148.3 meV/atom. The energy is -106.04 eV for the cell shown. Its formation energy is -0.596 eV/atom.

***

No. 2
Here is a relaxed structure of SbTe from Alexandria. Energies are from PBE-GGA.

The space group is R-3m (No. 166, hexagonal axes) and the conventional cell measures 4.3658, 4.3658 and 11.4871 Å, with angles of 90.00, 90.00 and 120.00 degrees. The inequivalent atoms are Sb at (0.0000, 0.0000, 0.0000) and Te at (0.0000, 0.0000, 0.5000).

As for the distance to the lowest polymorph of the same formula: 114.7 meV/atom. The energy is -21.73 eV for the cell shown. Its formation energy from raw total energies is 0.0099 eV per atom.

***

No. 3
Here is a relaxed structure of AlGa8Ag2 from Alexandria. Energies are from PBE-GGA.

The space group is C2/m (No. 12) and the conventional cell measures 11.108, 8.303 and 4.816 Å, with angles of 90.00, 101.36 and 90.00 degrees. The inequivalent atoms are Al at (0.000, 0.000, 0.000), Ga at (0.067, 0.289, 0.784), Ga at (0.124, 0.500, 0.325), Ga at (0.250, 0.000, 0.109) and Ag at (0.130, 0.000, 0.545).

The energy is -66.34 eV for the cell shown. Its formation energy is 0.044 eV/atom.

***

No. 4
Here is a relaxed structure of NaMo6Se8 from Alexandria. Energies are from PBE-GGA.

The space group is R-3 (No. 148, hexagonal axes) and the conventional cell measures 9.6974, 9.6974 and 11.8699 Å, with angles of 90.00, 90.00 and 120.00 degrees. The inequivalent atoms are Na at (0.0000, 0.0000, 0.0000), Mo at (0.0152, 0.1674, 0.4044), Se at (0.0000, 0.0000, 0.2357) and Se at (0.0068, 0.3731, 0.2498).

The energy is -309.70 eV for the cell shown. Its formation energy from raw total energies is -0.6033 eV per atom.

***

Look up the energy of the second one. -21.73 eV for the cell shown

***

The highest energy belongs to which entry? SbTe

***

Which of these has the highest energy? SbTe